one | {"formula": "La3HfCr", "functional": "PBE-GGA", "state": "relaxed", "magmom_total_mub_per_cell": 0.4, "lattice_angstrom": [[-1.740, 1.650, 4.747], [-0.205, -5.043, 1.677], [5.022, 0.365, 1.714]], "species": ["La", "La", "La", "Hf", "Cr"], "fractional_positions": [[0.000, 0.500, 0.000], [0.500, 0.000, 0.000], [0.000, 0.000, 0.500], [0.500, 0.500, 0.500], [0.000, 0.000, 0.000]]}



two | {"formula": "La3HfCr", "functional": "PBE-GGA", "state": "relaxed", "magmom_total_mub_per_cell": 5.2, "lattice_angstrom": [[5.761, 0.000, 0.000], [0.000, 5.761, 0.000], [0.000, 0.000, 5.761]], "species": ["La", "La", "La", "Hf", "Cr"], "fractional_positions": [[0.500, 0.000, 0.000], [0.000, 0.500, 0.000], [0.000, 0.000, 0.500], [0.000, 0.000, 0.000], [0.500, 0.500, 0.500]]}



Going by the energies, one is most stable and the next is 236 meV/atom up.



one | {"formula": "Li2HfCr2", "functional": "PBE-GGA", "state": "relaxed", "magmom_total_mub_per_cell": 0.0, "lattice_angstrom": [[-0.610, 3.616, -0.010], [-2.655, -0.455, -2.488], [-5.624, 0.920, 3.131]], "species": ["Hf", "Cr", "Cr", "Li", "Li"], "fractional_positions": [[0.000, 0.000, 0.000], [0.418, 0.418, 0.164], [0.582, 0.582, 0.836], [0.750, 0.250, 0.500], [0.250, 0.750, 0.500]]}



two | {"formula": "Li2HfCr2", "functional": "PBE-GGA", "state": "relaxed", "magmom_total_mub_per_cell": 0.0, "lattice_angstrom": [[-6.817, 1.869, -1.983], [-1.542, -7.050, -1.345], [-0.840, -0.311, 2.594]], "species": ["Li", "Li", "Li", "Li", "Cr", "Cr", "Cr", "Cr", "Hf", "Hf"], "fractional_positions": [[0.197, 0.697, 0.500], [0.803, 0.303, 0.500], [0.697, 0.803, 0.500], [0.303, 0.197, 0.500], [0.907, 0.593, 0.000], [0.407, 0.907, 0.000], [0.093, 0.407, 0.000], [0.593, 0.093, 0.000], [0.000, 0.000, 0.000], [0.500, 0.500, 0.000]]}



Going by the energies, one is most stable and the next is 128 meV/atom up.